[1]
# Sm4DySc3Se8, optimized geometry, DFT GGA-PBE
# - total DFT energy (no corrections) (Ha/atom) = -0.224
data_Sm4DySc3Se8
_chemical_formula_sum 'Sm12 Dy3 Sc9 Se24'
_cell_length_a 8.0445
_cell_length_b 8.0445
_cell_length_c 20.1644
_cell_angle_alpha 90.00
_cell_angle_beta 90.00
_cell_angle_gamma 120.00
_space_group_name_H-M_alt 'R -3 m'
_space_group_IT_number 166
_space_group_name_Hall '-R 3 2"'
loop_
_atom_site_label
_atom_site_type_symbol
_atom_site_fract_x
_atom_site_fract_y
_atom_site_fract_z
Sm1 Sm 0.0000 0.0000 0.0000
Sm2 Sm 0.0000 0.5000 0.0000
Dy1 Dy 0.0000 0.0000 0.5000
Sc1 Sc 0.0000 0.5000 0.5000
Se1 Se 0.0000 0.0000 0.2418
Se2 Se 0.0073 0.5036 0.7565


[2]
# NaAuF6, optimized geometry, DFT GGA-PBE
# - total DFT energy (no corrections) (Ha/atom) = -0.126
data_NaAuF6
_chemical_formula_sum 'Na2 Au2 F12'
_cell_length_a 5.3007
_cell_length_b 5.3007
_cell_length_c 10.1068
_cell_angle_alpha 90.00
_cell_angle_beta 90.00
_cell_angle_gamma 120.00
_space_group_name_H-M_alt 'P -3 1 c'
_space_group_IT_number 163
_space_group_name_Hall '-P 3 2c'
loop_
_atom_site_label
_atom_site_type_symbol
_atom_site_fract_x
_atom_site_fract_y
_atom_site_fract_z
Na1 Na 0.3333 0.6667 0.2500
Au1 Au 0.0000 0.0000 0.0000
F1 F 0.0126 0.3045 0.6127


[3]
# MnBi3Pt, optimized geometry, DFT GGA-PBE
# - distance to the lowest polymorph of the same formula (eV/f.u.) = 0.000
# - total DFT energy (no corrections) (Ha/atom) = -0.176
# - E_form (kJ per mole of atoms) = 55.95
data_MnBi3Pt
_chemical_formula_sum 'Mn1 Bi3 Pt1'
_cell_length_a 5.058
_cell_length_b 5.058
_cell_length_c 5.058
_cell_angle_alpha 90.00
_cell_angle_beta 90.00
_cell_angle_gamma 90.00
_space_group_name_H-M_alt 'P m -3 m'
_space_group_IT_number 221
_space_group_name_Hall '-P 4 2 3'
loop_
_atom_site_label
_atom_site_type_symbol
_atom_site_fract_x
_atom_site_fract_y
_atom_site_fract_z
Mn1 Mn 0.000 0.000 0.000
Bi1 Bi 0.000 0.000 0.500
Pt1 Pt 0.500 0.500 0.500


Copy entry 3 word for word.
# MnBi3Pt, optimized geometry, DFT GGA-PBE
# - distance to the lowest polymorph of the same formula (eV/f.u.) = 0.000
# - total DFT energy (no corrections) (Ha/atom) = -0.176
# - E_form (kJ per mole of atoms) = 55.95
data_MnBi3Pt
_chemical_formula_sum 'Mn1 Bi3 Pt1'
_cell_length_a 5.058
_cell_length_b 5.058
_cell_length_c 5.058
_cell_angle_alpha 90.00
_cell_angle_beta 90.00
_cell_angle_gamma 90.00
_space_group_name_H-M_alt 'P m -3 m'
_space_group_IT_number 221
_space_group_name_Hall '-P 4 2 3'
loop_
_atom_site_label
_atom_site_type_symbol
_atom_site_fract_x
_atom_site_fract_y
_atom_site_fract_z
Mn1 Mn 0.000 0.000 0.000
Bi1 Bi 0.000 0.000 0.500
Pt1 Pt 0.500 0.500 0.500